First-principles (PBE) data for KAgN2 after structural relaxation, as listed in Alexandria.

POSCAR file:
```
KAgN2
1.0
6.3738 0.0000 0.0000
0.0000 6.3738 0.0000
0.0000 0.0000 6.3738
K Ag N
4 4 8
Direct
0.0000 0.0000 0.0000 K
0.0000 0.5000 0.5000 K
0.5000 0.0000 0.5000 K
0.5000 0.5000 0.0000 K
0.0000 0.0000 0.5000 Ag
0.0000 0.5000 0.0000 Ag
0.5000 0.0000 0.0000 Ag
0.5000 0.5000 0.5000 Ag
0.2500 0.2500 0.2500 N
0.2500 0.2500 0.7500 N
0.2500 0.7500 0.2500 N
0.2500 0.7500 0.7500 N
0.7500 0.2500 0.2500 N
0.7500 0.2500 0.7500 N
0.7500 0.7500 0.2500 N
0.7500 0.7500 0.7500 N
```

Summary:
Crystal system: cubic
VASP energy in eV/atom: -3.330
DOS(E_F) in states/eV/f.u.: 2.37
Formation energy (no corrections) in eV per atom: 1.82
ΔE to the lowest computed polymorph in kJ per mole of atoms: 174.4